# In2PbSe PBE optimized geometry
data_In2PbSe
_cell_length_a 4.442
_cell_length_b 4.442
_cell_length_c 5.720
_cell_angle_alpha 90.00
_cell_angle_beta 90.00
_cell_angle_gamma 90.00
_space_group_name_H-M_alt 'P 4/m m m'
_space_group_IT_number 123
_space_group_name_Hall '-P 4 2'
loop_
_atom_site_label
_atom_site_fract_x
_atom_site_fract_y
_atom_site_fract_z
In1 0.000 0.500 0.000
Pb1 0.000 0.000 0.500
Se1 0.500 0.500 0.500
# Total energy: -0.2411 Ry per atom
# Theoretical density: 7.59 g cm⁻³
# ΔE_f (raw): -0.113 eV per atom
# Crystal system: tetragonal
# D(E_F): 1.33 states/eV per cell

=====

# InPbSe2 PBE optimized geometry
data_InPbSe2
_cell_length_a 6.857
_cell_length_b 4.247
_cell_length_c 9.137
_cell_angle_alpha 90.00
_cell_angle_beta 109.65
_cell_angle_gamma 90.00
_space_group_name_H-M_alt 'P 1 m 1'
_space_group_IT_number 6
_space_group_name_Hall 'P -2y'
loop_
_atom_site_label
_atom_site_fract_x
_atom_site_fract_y
_atom_site_fract_z
In1 0.000 0.000 0.000
In2 0.023 0.000 0.314
Pb1 0.392 0.500 0.768
Pb2 0.465 0.500 0.289
Se1 0.401 0.000 0.002
Se2 0.421 0.000 0.504
Se3 0.837 0.500 0.824
Se4 0.898 0.500 0.438
# Total energy: -0.2829 Ry per atom
# Theoretical density: 6.36 g cm⁻³
# ΔE_f (raw): -0.495 eV per atom
# Crystal system: monoclinic